Compound: Np2Ni4As3Rh
Source: the Alexandria database
Functional: PBE
Structure: relaxed

a b c (Å): 3.8954 3.8954 10.4880
angles (deg): 90.00 90.00 90.00
Closest atoms and distances in Å follow each position.
Fractional positions:
1 Ni 0.0000 0.5000 0.3457  3 As 2.29-2.53, 2 Rh 2.53
2 Ni 0.5000 0.0000 0.6543  3 As 2.29-2.53, 2 Rh 2.53
3 Ni 0.5000 0.5000 0.0000  4 As 2.36
4 Ni 0.0000 0.0000 0.0000  4 As 2.36
5 Np 0.5000 0.0000 0.2560  4 Ni 2.91, 6 As 3.07-3.22, 2 Rh 3.22
6 Np 0.0000 0.5000 0.7440  4 Ni 2.91, 6 As 3.07-3.22, 2 Rh 3.22
7 As 0.0000 0.5000 0.1273  5 Ni 2.29-2.36
8 As 0.0000 0.0000 0.5000  4 Ni 2.53, 4 Rh 2.75
9 As 0.5000 0.0000 0.8727  5 Ni 2.29-2.36
10 Rh 0.5000 0.5000 0.5000  4 Ni 2.53, 4 As 2.75

Summary:
Its calculated volume is 159 Å³/f.u. The mass density is 10.8 g/cm³. For the formation energy from the elements, the calculation gives -0.412 eV per atom.